# 1
Compound: CdHg4Se5
Source: Alexandria via LeMat-Bulk
Functional: PBEsol
Structure: relaxed

Cell lengths 4.331, 4.331, 15.598 Å; angles 97.98, 97.98, 90.00 degrees
Positions (direct):
Cd  0.500  0.500  0.000
Hg  0.099  0.099  0.199
Hg  0.700  0.700  0.400
Hg  0.300  0.300  0.600
Hg  0.901  0.901  0.801
Se  0.750  0.250  0.500
Se  0.350  0.850  0.701
Se  0.951  0.451  0.902
Se  0.549  0.049  0.098
Se  0.150  0.650  0.299

As for the formation energy from raw total energies: -0.2681 eV per atom. The uncorrected energy comes out at -25.40 eV per cell. As for the density of states at the Fermi level: 0.59 states/eV/cell. The spin magnetization is 0.0 μB/cell.

# 2
Compound: CdHgSe
Source: Alexandria via LeMat-Bulk
Functional: PBEsol
Structure: relaxed

Cell lengths 3.006, 5.060, 5.060 Å; angles 120.00, 90.00, 90.00 degrees
Positions (direct):
Cd  0.165  0.000  0.000
Hg  0.667  0.667  0.333
Se  0.168  0.333  0.667

As for the formation energy from raw total energies: 0.0748 eV per atom. The uncorrected energy comes out at -5.39 eV per cell. As for the density of states at the Fermi level: 0.83 states/eV/cell. The spin magnetization is 0.0 μB/cell.

# 3
Compound: Cd2HgSe
Source: Alexandria via LeMat-Bulk
Functional: PBEsol
Structure: relaxed

Cell lengths 3.748, 3.983, 6.765 Å; angles 107.12, 106.08, 90.00 degrees
Positions (direct):
Cd  0.961  0.961  0.922
Cd  0.715  0.215  0.430
Hg  0.539  0.539  0.078
Se  0.285  0.785  0.570

The calculation puts the excess energy over the best structure of this formula in the dataset at 0 meV per atom. As for the formation energy from raw total energies: -0.1247 eV per atom. The uncorrected energy comes out at -7.31 eV per cell. As for the density of states at the Fermi level: 1.02 states/eV/cell. The spin magnetization is 0.0 μB/cell.